[1]
## TbErAg (GGA-PBE)

Data for an optimized crystal structure of TbErAg.

Geometry as CIF:
```
data_TbErAg
_chemical_formula_sum 'Tb1 Er1 Ag1'
_cell_length_a 6.7469
_cell_length_b 6.7469
_cell_length_c 6.7469
_cell_angle_alpha 149.23
_cell_angle_beta 149.23
_cell_angle_gamma 44.07
_symmetry_space_group_name_H-M 'P 1'
_symmetry_Int_Tables_number 1
loop_
_symmetry_equiv_pos_as_xyz
'x,y,z'
loop_
_atom_site_label
_atom_site_type_symbol
_atom_site_fract_x
_atom_site_fract_y
_atom_site_fract_z
Tb1 Tb 0.0000 0.0000 0.0000
Er1 Er 0.2986 0.2986 0.0000
Ag1 Ag 0.6541 0.6541 0.0000
```

- Volume: 80.16 Å³/cell
- E: -4.192 eV/atom
- Magnetization: 0.782 Bohr magnetons per cell
- SG: No. 107
- Calculated formation energy: -51 kJ/mol of formula units

[2]
## Tb2ErAg (GGA-PBE)

Data for an optimized crystal structure of Tb2ErAg.

Geometry as CIF:
```
data_Tb2ErAg
_chemical_formula_sum 'Tb4 Er2 Ag2'
_cell_length_a 9.4873
_cell_length_b 9.4873
_cell_length_c 9.4873
_cell_angle_alpha 149.13
_cell_angle_beta 149.13
_cell_angle_gamma 44.22
_symmetry_space_group_name_H-M 'P 1'
_symmetry_Int_Tables_number 1
loop_
_symmetry_equiv_pos_as_xyz
'x,y,z'
loop_
_atom_site_label
_atom_site_type_symbol
_atom_site_fract_x
_atom_site_fract_y
_atom_site_fract_z
Tb1 Tb 0.0000 0.5000 0.5000
Tb2 Tb 0.1416 0.1416 0.0000
Tb3 Tb 0.5000 0.0000 0.5000
Tb4 Tb 0.8584 0.8584 0.0000
Er1 Er 0.3558 0.3558 0.0000
Er2 Er 0.6442 0.6442 0.0000
Ag1 Ag 0.2500 0.7500 0.5000
Ag2 Ag 0.7500 0.2500 0.5000
```

- Volume: 224.12 Å³/cell
- E: -4.300 eV/atom
- Magnetization: 0.000 Bohr magnetons per cell
- SG: No. 139
- Calculated formation energy: -51 kJ/mol of formula units